No. 1
Below is an optimized crystal structure of GaPt, with properties calculated at the PBE level.

abc: 4.000 4.000 4.000
angles: 60.00 60.00 60.00
Positions (direct):
Ga 0.000 0.000 0.000
Pt 0.750 0.750 0.750

Results
Space group   No. 216
Electronic total energy   -4.725 eV per atom

No. 2
Below is an optimized crystal structure of Co2Pt4Rh3, with properties calculated at the PBE level.

abc: 4.715 4.715 8.183
angles: 106.74 106.74 48.13
Positions (direct):
Co 0.169 0.169 0.226
Co 0.831 0.831 0.774
Pt 0.167 0.167 0.890
Pt 0.499 0.499 0.329
Pt 0.501 0.501 0.671
Pt 0.833 0.833 0.110
Rh 0.169 0.169 0.552
Rh 0.500 0.500 0.000
Rh 0.831 0.831 0.448

Results
Space group   No. 12
Electronic total energy   -6.753 eV per atom

No. 3
Below is an optimized crystal structure of TcP2Au, with properties calculated at the PBE level.

abc: 2.822 2.822 9.400
angles: 90.00 90.00 115.13
Positions (direct):
Tc 0.000 0.000 0.000
P 0.000 0.000 0.497
P 0.500 0.500 0.817
Au 0.500 0.500 0.267

Results
Excess energy over the best structure of this formula in the dataset   566.4 meV/atom
Space group   No. 35
Electronic total energy   -5.702 eV per atom

No. 4
Below is an optimized crystal structure of Tl2HgSb, with properties calculated at the PBE level.

abc: 6.866 6.866 6.866
angles: 151.40 128.13 60.30
Positions (direct):
Tl 0.000 0.000 0.000
Tl 0.722 0.222 0.500
Hg 0.249 0.749 0.500
Sb 0.483 0.483 0.000

Results
Excess energy over the best structure of this formula in the dataset   51.4 meV/atom
Space group   No. 44
Formation energy without anion corrections   0.0417 eV per atom
Electronic total energy   -2.247 eV per atom

No. 5
Below is an optimized crystal structure of TbPr3Cd8, with properties calculated at the PBE level.

abc: 10.369 10.369 10.369
angles: 33.72 33.72 33.72
Positions (direct):
Tb 0.000 0.000 0.000
Pr 0.124 0.124 0.124
Pr 0.500 0.500 0.500
Pr 0.624 0.624 0.624
Cd 0.060 0.562 0.562
Cd 0.062 0.062 0.564
Cd 0.062 0.564 0.062
Cd 0.312 0.312 0.312
Cd 0.562 0.060 0.562
Cd 0.562 0.562 0.060
Cd 0.564 0.062 0.062
Cd 0.812 0.812 0.812

Results
Space group   No. 160
Electronic total energy   -2.487 eV per atom

No. 6
Below is an optimized crystal structure of TmMg2Ag2Sn2, with properties calculated at the PBE level.

abc: 8.677 8.677 8.677
angles: 31.06 31.06 31.06
Positions (direct):
Tm 0.000 0.000 0.000
Mg 0.138 0.138 0.138
Mg 0.862 0.862 0.862
Ag 0.440 0.440 0.440
Ag 0.560 0.560 0.560
Sn 0.267 0.267 0.267
Sn 0.733 0.733 0.733

Results
Space group   No. 166
Electronic total energy   -3.346 eV per atom